[1]
## YMg2Ge (PBE-GGA)

Data for an optimized crystal structure of YMg2Ge. Values from VASP.

The structure in Quantum ESPRESSO input format:
```
&SYSTEM
  ibrav = 0, nat = 4, ntyp = 3
/
ATOMIC_SPECIES
Ge 72.64 Ge.upf
Mg 24.30 Mg.upf
Y 88.91 Y.upf
CELL_PARAMETERS angstrom
-1.981 -2.469 3.513
-1.107 -3.090 -2.796
3.756 -1.993 0.717
ATOMIC_POSITIONS angstrom
Ge 0.334 -3.777 0.717
Mg 1.878 -0.997 0.358
Mg -0.553 -1.545 -1.398
Y -0.990 -1.235 1.757
```

## Properties
DFT formation energy = -1.6 eV per formula unit
Space group = No. 123
Crystal system = tetragonal



[2]
## K2HfNpO6 (PBE-GGA)

Data for an optimized crystal structure of K2HfNpO6. Values from VASP.

The structure in Quantum ESPRESSO input format:
```
&SYSTEM
  ibrav = 0, nat = 20, ntyp = 4
/
ATOMIC_SPECIES
Np 237.00 Np.upf
Hf 178.49 Hf.upf
O 16.00 O.upf
K 39.10 K.upf
CELL_PARAMETERS angstrom
-5.272 0.853 2.555
1.284 -4.141 4.031
3.349 5.861 4.953
ATOMIC_POSITIONS angstrom
Np 0.963 -3.107 3.024
Np -0.640 2.323 4.761
Hf -2.315 -0.609 2.286
Hf 2.637 -0.175 5.500
O 0.995 1.077 5.129
O -0.672 -1.861 2.657
O 0.353 3.143 3.119
O -3.314 -1.434 3.937
O -2.275 3.568 4.393
O 3.477 1.293 6.742
O -1.636 1.503 6.404
O 0.195 3.784 5.998
O 1.798 -1.644 4.259
O -2.674 -3.499 5.949
O -1.476 0.860 3.527
O -0.031 -3.927 4.667
K 0.839 1.717 8.016
K 1.158 0.430 2.246
K -0.836 -1.214 5.539
K 2.833 3.360 4.723
```

## Properties
Space group = No. 225
Crystal system = cubic
ΔE_f (raw) = -27.98 eV/f.u.



[3]
## NaTe4As (PBE-GGA)

Data for an optimized crystal structure of NaTe4As. Values from VASP.

The structure in Quantum ESPRESSO input format:
```
&SYSTEM
  ibrav = 0, nat = 12, ntyp = 3
/
ATOMIC_SPECIES
Te 127.60 Te.upf
As 74.92 As.upf
Na 22.99 Na.upf
CELL_PARAMETERS angstrom
4.247 0.000 0.000
0.000 9.593 -0.016
0.000 -4.039 9.399
ATOMIC_POSITIONS angstrom
Te 2.124 1.898 0.603
Te 4.246 1.902 7.524
Te 0.001 -0.876 2.832
Te 0.001 3.653 1.859
Te 4.246 6.430 6.551
Te 2.123 4.675 5.295
Te 2.123 3.656 8.780
Te 2.124 0.879 4.088
As 0.000 2.777 4.692
As 0.000 0.000 0.000
Na 2.128 6.185 2.338
Na 2.119 -0.631 7.045
```

## Properties
Space group = No. 13
Crystal system = monoclinic
ΔE_f (raw) = -0.72 eV/f.u.



[4]
## Zn5Ga4Tc (PBE-GGA)

Data for an optimized crystal structure of Zn5Ga4Tc. Values from VASP.

The structure in Quantum ESPRESSO input format:
```
&SYSTEM
  ibrav = 0, nat = 10, ntyp = 3
/
ATOMIC_SPECIES
Tc 98.00 Tc.upf
Zn 65.41 Zn.upf
Ga 69.72 Ga.upf
CELL_PARAMETERS angstrom
-1.578 -3.911 3.247
3.163 -0.240 5.610
-4.765 1.638 4.019
ATOMIC_POSITIONS angstrom
Tc -0.346 -0.856 0.711
Zn -1.515 0.129 7.729
Zn -1.515 -2.271 4.839
Zn -4.098 -2.598 7.552
Zn -1.132 -2.805 2.329
Zn -0.510 -3.454 8.263
Ga 0.277 -1.451 6.597
Ga -3.271 -0.601 5.896
Ga -2.284 -1.795 9.299
Ga -0.710 -0.256 3.194
```

## Properties
DFT formation energy = 1.0 eV per formula unit
Space group = No. 79
Crystal system = tetragonal



[5]
## AlOs2Pb (PBE-GGA)

Data for an optimized crystal structure of AlOs2Pb. Values from VASP.

The structure in Quantum ESPRESSO input format:
```
&SYSTEM
  ibrav = 0, nat = 4, ntyp = 3
/
ATOMIC_SPECIES
Os 190.23 Os.upf
Pb 207.20 Pb.upf
Al 26.98 Al.upf
CELL_PARAMETERS angstrom
3.015 0.000 0.000
0.000 2.906 0.129
0.000 4.008 8.375
ATOMIC_POSITIONS angstrom
Os 0.000 0.179 0.075
Os 1.507 1.559 1.757
Pb 0.000 2.920 4.045
Al 1.507 5.712 6.877
```

## Properties
DFT formation energy = 1.2 eV per formula unit
Space group = No. 6
Crystal system = monoclinic



[6]
## LaIn2Pd (PBE-GGA)

Data for an optimized crystal structure of LaIn2Pd. Values from VASP.

The structure in Quantum ESPRESSO input format:
```
&SYSTEM
  ibrav = 0, nat = 8, ntyp = 3
/
ATOMIC_SPECIES
In 114.82 In.upf
La 138.91 La.upf
Pd 106.42 Pd.upf
CELL_PARAMETERS angstrom
-0.404 -2.695 -3.384
4.106 0.832 -1.153
5.366 -9.455 4.101
ATOMIC_POSITIONS angstrom
In 7.147 -8.746 -0.861
In 3.846 -2.257 -0.214
In 1.614 -3.868 -1.138
In 5.529 -7.767 1.342
La 3.407 -6.541 -0.775
La 0.000 0.000 0.000
Pd 5.662 -4.778 0.340
Pd 1.851 -0.932 -2.268
```

## Properties
DFT formation energy = -1.3 eV per formula unit
Space group = No. 122
Crystal system = tetragonal



[7]
## UCo2TcP2 (PBE-GGA)

Data for an optimized crystal structure of UCo2TcP2. Values from VASP.

The structure in Quantum ESPRESSO input format:
```
&SYSTEM
  ibrav = 0, nat = 6, ntyp = 4
/
ATOMIC_SPECIES
U 238.03 U.upf
Tc 98.00 Tc.upf
P 30.97 P.upf
Co 58.93 Co.upf
CELL_PARAMETERS angstrom
3.812 0.000 0.000
-1.906 3.301 0.000
0.000 0.000 6.590
ATOMIC_POSITIONS angstrom
U 0.000 0.000 0.000
Tc 0.000 0.000 3.295
P 1.906 1.100 4.609
P 0.000 2.201 1.982
Co 1.906 1.100 1.641
Co 0.000 2.201 4.949
```

## Properties
DFT formation energy = -3.4 eV per formula unit
Space group = No. 164
Crystal system = trigonal



[8]
## SrHg2Rh (PBE-GGA)

Data for an optimized crystal structure of SrHg2Rh. Values from VASP.

The structure in Quantum ESPRESSO input format:
```
&SYSTEM
  ibrav = 0, nat = 4, ntyp = 3
/
ATOMIC_SPECIES
Hg 200.59 Hg.upf
Sr 87.62 Sr.upf
Rh 102.91 Rh.upf
CELL_PARAMETERS angstrom
5.574 -0.016 0.000
1.985 5.208 0.000
-3.779 -2.596 3.169
ATOMIC_POSITIONS angstrom
Hg 0.000 0.000 0.000
Hg 0.992 2.604 1.585
Sr 2.787 -0.008 1.585
Rh 3.779 2.596 0.000
```

## Properties
DFT formation energy = -0.3 eV per formula unit
Space group = No. 119
Crystal system = tetragonal



[9]
## AcPm5Nd5 (PBE-GGA)

Data for an optimized crystal structure of AcPm5Nd5. Values from VASP.

The structure in Quantum ESPRESSO input format:
```
&SYSTEM
  ibrav = 0, nat = 11, ntyp = 3
/
ATOMIC_SPECIES
Ac 227.00 Ac.upf
Pm 145.00 Pm.upf
Nd 144.24 Nd.upf
CELL_PARAMETERS angstrom
6.323 0.000 0.000
-3.161 5.476 0.000
0.000 0.000 11.724
ATOMIC_POSITIONS angstrom
Ac 0.000 3.651 0.000
Pm 0.000 0.000 3.116
Pm 3.161 3.622 5.862
Pm 1.606 0.927 5.862
Pm 4.717 0.927 5.862
Pm 0.000 0.000 8.608
Nd 3.161 1.825 9.817
Nd 0.000 0.000 0.000
Nd 3.161 1.825 1.907
Nd 0.000 3.650 7.808
Nd 0.000 3.651 3.916
```

## Properties
DFT formation energy = 2.9 eV per formula unit
Space group = No. 187
Crystal system = hexagonal



[10]
## BeSiSe2N (PBE-GGA)

Data for an optimized crystal structure of BeSiSe2N. Values from VASP.

The structure in Quantum ESPRESSO input format:
```
&SYSTEM
  ibrav = 0, nat = 5, ntyp = 4
/
ATOMIC_SPECIES
N 14.01 N.upf
Si 28.09 Si.upf
Se 78.96 Se.upf
Be 9.01 Be.upf
CELL_PARAMETERS angstrom
5.005 0.000 0.000
0.000 5.005 0.000
0.000 0.000 3.103
ATOMIC_POSITIONS angstrom
N 0.000 0.000 1.551
Si 2.503 2.503 1.551
Se 0.000 2.503 0.000
Se 2.503 0.000 0.000
Be 0.000 0.000 0.000
```

## Properties
Space group = No. 123
Crystal system = tetragonal
ΔE_f (raw) = 2.71 eV/f.u.



[11]
## LiMg2Pd (PBE-GGA)

Data for an optimized crystal structure of LiMg2Pd. Values from VASP.

The structure in Quantum ESPRESSO input format:
```
&SYSTEM
  ibrav = 0, nat = 4, ntyp = 3
/
ATOMIC_SPECIES
Mg 24.30 Mg.upf
Pd 106.42 Pd.upf
Li 6.94 Li.upf
CELL_PARAMETERS angstrom
-2.201 -3.867 -1.101
-4.071 0.198 -2.097
-0.378 -1.251 -4.394
ATOMIC_POSITIONS angstrom
Mg -4.988 -3.690 -5.693
Mg -1.663 -1.230 -1.898
Pd -3.326 -2.460 -3.796
Li 0.000 0.000 0.000
```

## Properties
DFT formation energy = -1.9 eV per formula unit
Space group = No. 225
Crystal system = cubic



[12]
## Sm2YHg (PBE-GGA)

Data for an optimized crystal structure of Sm2YHg. Values from VASP.

The structure in Quantum ESPRESSO input format:
```
&SYSTEM
  ibrav = 0, nat = 8, ntyp = 3
/
ATOMIC_SPECIES
Sm 150.36 Sm.upf
Y 88.91 Y.upf
Hg 200.59 Hg.upf
CELL_PARAMETERS angstrom
-2.995 1.855 1.215
-1.092 -6.321 1.241
4.428 1.061 9.298
ATOMIC_POSITIONS angstrom
Sm 2.338 -2.960 10.283
Sm -1.997 -0.446 1.472
Sm -0.144 -0.002 5.363
Sm 0.484 -3.404 6.391
Y -2.737 -3.694 4.607
Y 3.077 0.288 7.148
Hg -0.160 -2.374 3.229
Hg 0.500 -1.032 8.526
```

## Properties
DFT formation energy = -0.9 eV per formula unit
Space group = No. 63
Crystal system = orthorhombic



Table of spin magnetization (μB/atom), in record order: 0.00; 0.10; 0.00; 0.00; 0.00; 0.00; 0.00; 0.00; 0.00; 0.00; 0.00; 0.00
Table of raw total energy (eV per cell), in record order: -15.87; -165.63; -38.51; -27.84; -28.72; -33.87; -50.12; -9.96; -48.84; -21.73; -12.18; -34.26